1.
The following is a DFT calculation (PBE) of a relaxed structure of Ni2SnHgMo.

```
5
Lattice="4.5633 0.0000 0.0000 0.0000 5.1964 0.0000 0.0000 0.0000 4.5633" Properties=species:S:1:pos:R:3 pbc="T T T"
Ni 2.2816 0.0000 0.0000
Ni 0.0000 0.0000 2.2816
Mo 2.2816 2.5982 2.2816
Sn 0.0000 0.0000 0.0000
Hg 0.0000 2.5982 0.0000
```

Output
Energy of formation from the pure elements   1604 meV/atom
Total energy   -3.736 eV/atom

2.
The following is a DFT calculation (PBE) of a relaxed structure of NiSnHgMo2.

```
5
Lattice="4.6051 0.0000 0.0000 0.0000 4.7888 0.0000 0.0000 0.0000 4.6051" Properties=species:S:1:pos:R:3 pbc="T T T"
Hg 0.0000 2.3944 0.0000
Ni 0.0000 0.0000 0.0000
Mo 2.3025 0.0000 0.0000
Mo 0.0000 0.0000 2.3025
Sn 2.3025 2.3944 2.3025
```

Output
Energy of formation from the pure elements   1078 meV/atom
Total energy   -5.272 eV/atom

3.
The following is a DFT calculation (PBE) of a relaxed structure of SrNiHgMo2.

```
5
Lattice="-4.0160 -0.6697 2.3037 2.5388 -0.1993 4.3678 -0.4877 4.6261 0.4946" Properties=species:S:1:pos:R:3 pbc="T T T"
Mo -2.0080 -0.3348 1.1519
Mo -0.2438 2.3131 0.2473
Hg 1.2694 -0.0997 2.1839
Sr -0.9824 1.8786 3.5831
Ni 0.0000 0.0000 0.0000
```

Output
Energy of formation from the pure elements   982 meV/atom
Total energy   -4.904 eV/atom

4.
The following is a DFT calculation (PBE) of a relaxed structure of Tc2NiHgMo.

```
5
Lattice="4.8611 0.0000 0.0000 0.0000 4.8611 0.0000 0.0000 0.0000 4.4438" Properties=species:S:1:pos:R:3 pbc="T T T"
Ni 0.0000 0.0000 2.2219
Mo 2.4306 2.4306 2.2219
Hg 0.0000 0.0000 0.0000
Tc 2.4306 0.0000 0.0000
Tc 0.0000 2.4306 0.0000
```

Output
Energy of formation from the pure elements   2565 meV/atom
Total energy   -4.964 eV/atom